Here is a crystal of SrZn2Pd2 relaxed with PBEsol from Alexandria via LeMat-Bulk. Energies are from meta-GGA SCAN.

```
data_SrZn2Pd2
_chemical_formula_sum 'Sr2 Zn4 Pd4'
_space_group_name_H-M_alt 'I 4/m m m'
_space_group_IT_number 139
_space_group_name_Hall '-I 4 2'
_cell_length_a 4.214
_cell_length_b 4.214
_cell_length_c 10.902
_cell_angle_alpha 90.00
_cell_angle_beta 90.00
_cell_angle_gamma 90.00
loop_
_atom_site_label
_atom_site_type_symbol
_atom_site_fract_x
_atom_site_fract_y
_atom_site_fract_z
Sr1 Sr 0.000 0.000 0.000
Zn1 Zn 0.000 0.500 0.250
Pd1 Pd 0.000 0.000 0.378
```

Calculated values
E in hartree per atom: -0.8647

=====

Here is a crystal of SrZr3Pd relaxed with PBEsol from Alexandria via LeMat-Bulk. Energies are from meta-GGA SCAN.

```
data_SrZr3Pd
_chemical_formula_sum 'Sr1 Zr3 Pd1'
_space_group_name_H-M_alt 'P m -3 m'
_space_group_IT_number 221
_space_group_name_Hall '-P 4 2 3'
_cell_length_a 5.148
_cell_length_b 5.148
_cell_length_c 5.148
_cell_angle_alpha 90.00
_cell_angle_beta 90.00
_cell_angle_gamma 90.00
loop_
_atom_site_label
_atom_site_type_symbol
_atom_site_fract_x
_atom_site_fract_y
_atom_site_fract_z
Sr1 Sr 0.000 0.000 0.000
Zr1 Zr 0.000 0.500 0.500
Pd1 Pd 0.500 0.500 0.500
```

Calculated values
E in hartree per atom: -1.0710

=====

Here is a crystal of TaPd3 relaxed with PBEsol from Alexandria via LeMat-Bulk. Energies are from meta-GGA SCAN.

```
data_TaPd3
_chemical_formula_sum 'Ta2 Pd6'
_space_group_name_H-M_alt 'I 4/m m m'
_space_group_IT_number 139
_space_group_name_Hall '-I 4 2'
_cell_length_a 3.874
_cell_length_b 3.874
_cell_length_c 7.937
_cell_angle_alpha 90.00
_cell_angle_beta 90.00
_cell_angle_gamma 90.00
loop_
_atom_site_label
_atom_site_type_symbol
_atom_site_fract_x
_atom_site_fract_y
_atom_site_fract_z
Ta1 Ta 0.000 0.000 0.000
Pd1 Pd 0.000 0.000 0.500
Pd2 Pd 0.000 0.500 0.250
```

Calculated values
E in hartree per atom: -1.5335

=====

Here is a crystal of TaPd relaxed with PBEsol from Alexandria via LeMat-Bulk. Energies are from meta-GGA SCAN.

```
data_TaPd
_chemical_formula_sum 'Ta2 Pd2'
_space_group_name_H-M_alt 'P 4/n m m'
_space_group_IT_number 129
_cell_length_a 3.278
_cell_length_b 3.278
_cell_length_c 5.985
_cell_angle_alpha 90.00
_cell_angle_beta 90.00
_cell_angle_gamma 90.00
loop_
_space_group_symop_operation_xyz
'x,y,z'
'-x,-y,-z'
'-y+1/2,x,z'
'y+1/2,-x,-z'
'-x+1/2,-y+1/2,z'
'x+1/2,y+1/2,-z'
'y,-x+1/2,z'
'-y,x+1/2,-z'
'x+1/2,-y,-z'
'-x+1/2,y,z'
'-y,-x,-z'
'y,x,z'
'-x,y+1/2,-z'
'x,-y+1/2,z'
'y+1/2,x+1/2,-z'
'-y+1/2,-x+1/2,z'
loop_
_atom_site_label
_atom_site_type_symbol
_atom_site_fract_x
_atom_site_fract_y
_atom_site_fract_z
Ta1 Ta 0.250 0.250 0.145
Pd1 Pd 0.250 0.250 0.630
```

Calculated values
E in hartree per atom: -1.8400

=====

Here is a crystal of TaPd relaxed with PBEsol from Alexandria via LeMat-Bulk. Energies are from meta-GGA SCAN.

```
data_TaPd
_chemical_formula_sum 'Ta3 Pd3'
_space_group_name_H-M_alt 'R -3 m'
_space_group_IT_number 166
_space_group_name_Hall '-R 3 2"'
_cell_length_a 2.8261
_cell_length_b 2.8261
_cell_length_c 13.8509
_cell_angle_alpha 90.00
_cell_angle_beta 90.00
_cell_angle_gamma 120.00
loop_
_atom_site_label
_atom_site_type_symbol
_atom_site_fract_x
_atom_site_fract_y
_atom_site_fract_z
Ta1 Ta 0.0000 0.0000 0.0000
Pd1 Pd 0.0000 0.0000 0.5000
```

Calculated values
E in hartree per atom: -1.8307

=====

Here is a crystal of TaPd3 relaxed with PBEsol from Alexandria via LeMat-Bulk. Energies are from meta-GGA SCAN.

```
data_TaPd3
_chemical_formula_sum 'Ta2 Pd6'
_space_group_name_H-M_alt 'P 63/m m c'
_space_group_IT_number 194
_space_group_name_Hall '-P 6c 2c'
_cell_length_a 5.4715
_cell_length_b 5.4715
_cell_length_c 4.6040
_cell_angle_alpha 90.00
_cell_angle_beta 90.00
_cell_angle_gamma 120.00
loop_
_atom_site_label
_atom_site_type_symbol
_atom_site_fract_x
_atom_site_fract_y
_atom_site_fract_z
Ta1 Ta 0.3333 0.6667 0.2500
Pd1 Pd 0.1680 0.3360 0.7500
```

Calculated values
E in hartree per atom: -1.5320

=====

Here is a crystal of TaPd relaxed with PBEsol from Alexandria via LeMat-Bulk. Energies are from meta-GGA SCAN.

```
data_TaPd
_chemical_formula_sum 'Ta1 Pd1'
_space_group_name_H-M_alt 'P 4/m m m'
_space_group_IT_number 123
_space_group_name_Hall '-P 4 2'
_cell_length_a 2.782
_cell_length_b 2.782
_cell_length_c 4.066
_cell_angle_alpha 90.00
_cell_angle_beta 90.00
_cell_angle_gamma 90.00
loop_
_atom_site_label
_atom_site_type_symbol
_atom_site_fract_x
_atom_site_fract_y
_atom_site_fract_z
Ta1 Ta 0.000 0.000 0.000
Pd1 Pd 0.500 0.500 0.500
```

Calculated values
E in hartree per atom: -1.8376

=====

Here is a crystal of TaTe3Pd relaxed with PBEsol from Alexandria via LeMat-Bulk. Energies are from meta-GGA SCAN.

```
data_TaTe3Pd
_chemical_formula_sum 'Ta1 Te3 Pd1'
_space_group_name_H-M_alt 'P m -3 m'
_space_group_IT_number 221
_space_group_name_Hall '-P 4 2 3'
_cell_length_a 5.298
_cell_length_b 5.298
_cell_length_c 5.298
_cell_angle_alpha 90.00
_cell_angle_beta 90.00
_cell_angle_gamma 90.00
loop_
_atom_site_label
_atom_site_type_symbol
_atom_site_fract_x
_atom_site_fract_y
_atom_site_fract_z
Ta1 Ta 0.000 0.000 0.000
Te1 Te 0.000 0.000 0.500
Pd1 Pd 0.500 0.500 0.500
```

Calculated values
E in hartree per atom: -1.5286
ΔE_f (raw) in eV/atom: 0.627

=====

Here is a crystal of TaTe3Pd relaxed with PBEsol from Alexandria via LeMat-Bulk. Energies are from meta-GGA SCAN.

```
data_TaTe3Pd
_chemical_formula_sum 'Ta1 Te3 Pd1'
_space_group_name_H-M_alt 'P m -3 m'
_space_group_IT_number 221
_space_group_name_Hall '-P 4 2 3'
_cell_length_a 5.098
_cell_length_b 5.098
_cell_length_c 5.098
_cell_angle_alpha 90.00
_cell_angle_beta 90.00
_cell_angle_gamma 90.00
loop_
_atom_site_label
_atom_site_type_symbol
_atom_site_fract_x
_atom_site_fract_y
_atom_site_fract_z
Ta1 Ta 0.000 0.000 0.000
Te1 Te 0.000 0.500 0.500
Pd1 Pd 0.500 0.500 0.500
```

Calculated values
E in hartree per atom: -1.5185
ΔE_f (raw) in eV/atom: 0.903

=====

Here is a crystal of TaTiPd2W relaxed with PBEsol from Alexandria via LeMat-Bulk. Energies are from meta-GGA SCAN.

```
data_TaTiPd2W
_chemical_formula_sum 'Ta1 Ti1 Pd2 W1'
_space_group_name_H-M_alt 'P 4/m m m'
_space_group_IT_number 123
_space_group_name_Hall '-P 4 2'
_cell_length_a 4.366
_cell_length_b 4.366
_cell_length_c 4.748
_cell_angle_alpha 90.00
_cell_angle_beta 90.00
_cell_angle_gamma 90.00
loop_
_atom_site_label
_atom_site_type_symbol
_atom_site_fract_x
_atom_site_fract_y
_atom_site_fract_z
Ta1 Ta 0.000 0.000 0.000
Ti1 Ti 0.000 0.000 0.500
Pd1 Pd 0.000 0.500 0.500
W1 W 0.500 0.500 0.000
```

Calculated values
E in hartree per atom: -1.5513

=====

Here is a crystal of TaPd3W relaxed with PBEsol from Alexandria via LeMat-Bulk. Energies are from meta-GGA SCAN.

```
data_TaPd3W
_chemical_formula_sum 'Ta1 Pd3 W1'
_space_group_name_H-M_alt 'P m -3 m'
_space_group_IT_number 221
_space_group_name_Hall '-P 4 2 3'
_cell_length_a 4.665
_cell_length_b 4.665
_cell_length_c 4.665
_cell_angle_alpha 90.00
_cell_angle_beta 90.00
_cell_angle_gamma 90.00
loop_
_atom_site_label
_atom_site_type_symbol
_atom_site_fract_x
_atom_site_fract_y
_atom_site_fract_z
Ta1 Ta 0.000 0.000 0.000
Pd1 Pd 0.000 0.500 0.500
W1 W 0.500 0.500 0.500
```

Calculated values
E in hartree per atom: -1.6646

=====

Here is a crystal of ZrTaPd3 relaxed with PBEsol from Alexandria via LeMat-Bulk. Energies are from meta-GGA SCAN.

```
data_ZrTaPd3
_chemical_formula_sum 'Zr1 Ta1 Pd3'
_space_group_name_H-M_alt 'P m -3 m'
_space_group_IT_number 221
_space_group_name_Hall '-P 4 2 3'
_cell_length_a 4.694
_cell_length_b 4.694
_cell_length_c 4.694
_cell_angle_alpha 90.00
_cell_angle_beta 90.00
_cell_angle_gamma 90.00
loop_
_atom_site_label
_atom_site_type_symbol
_atom_site_fract_x
_atom_site_fract_y
_atom_site_fract_z
Zr1 Zr 0.000 0.000 0.000
Ta1 Ta 0.500 0.500 0.500
Pd1 Pd 0.000 0.000 0.500
```

Calculated values
E in hartree per atom: -1.3977

=====

Number 1: density 7.40 Mg/m³. Number 2: density 5.69 Mg/m³. Number 3: density 13.94 Mg/m³. Number 4: density 14.84 Mg/m³. Number 5: density 14.94 Mg/m³. Number 6: density 13.92 Mg/m³. Number 7: density 15.16 Mg/m³. Number 8: density 7.48 Mg/m³. Number 9: density 8.40 Mg/m³. Number 10: density 11.47 Mg/m³. Number 11: density 11.19 Mg/m³. Number 12: density 9.50 Mg/m³.